No. 1
Below is LaHgCl2 after structural relaxation, with properties calculated at the PBE level.

## Properties
For the distance to the lowest polymorph of the same formula, the calculation gives 6.19 kcal/mol of atoms.

abc: 5.1337 5.1337 10.1660
angles: 75.37 75.37 90.00
Atoms (fractional coordinates):
Cl: 0.8750 0.8115 0.7500
La: 0.2500 0.7500 0.5000
Cl: 0.1885 0.6250 0.2500
Hg: 0.0000 0.0000 0.0000
Cl: 0.3750 0.4385 0.7500
Cl: 0.5615 0.1250 0.2500
Hg: 0.7500 0.2500 0.5000
La: 0.5000 0.5000 0.0000

No. 2
Below is LaHgCl2 after structural relaxation, with properties calculated at the PBE level.

## Properties
For the distance to the lowest polymorph of the same formula, the calculation gives 0.85 kcal/mol of atoms.

abc: 11.7647 11.7647 11.7647
angles: 19.39 19.39 19.39
Atoms (fractional coordinates):
Cl: 0.1154 0.1154 0.1154
La: 0.5000 0.5000 0.5000
Cl: 0.8846 0.8846 0.8846
Hg: 0.0000 0.0000 0.0000

No. 3
Below is La2HgCl after structural relaxation, with properties calculated at the PBE level.

## Properties
For the distance to the lowest polymorph of the same formula, the calculation gives 2.60 kcal/mol of atoms.

abc: 8.2953 8.2953 8.2953
angles: 153.11 152.36 38.95
Atoms (fractional coordinates):
La: 0.6939 0.1939 0.5000
La: 0.9619 0.9619 0.0000
Cl: 0.5447 0.5447 0.0000
Hg: 0.2996 0.7996 0.5000

No. 4
Below is LaHgCl2 after structural relaxation, with properties calculated at the PBE level.

## Properties
For the distance to the lowest polymorph of the same formula, the calculation gives 14.23 kcal/mol of atoms.

abc: 11.9786 11.9786 11.9786
angles: 21.07 21.07 21.07
Site moments in Bohr magnetons follow the coordinates.
Atoms (fractional coordinates):
Cl: 0.9272 0.9272 0.9272  0.00
Hg: 0.5000 0.5000 0.5000  -0.03
Cl: 0.0728 0.0728 0.0728  0.00
La: 0.0000 0.0000 0.0000  0.17

No. 5
Below is LaHgCl2 after structural relaxation, with properties calculated at the PBE level.

## Properties
For the distance to the lowest polymorph of the same formula, the calculation gives 10.71 kcal/mol of atoms.

abc: 5.2751 5.2751 5.2751
angles: 60.00 60.00 60.00
Atoms (fractional coordinates):
La: 0.7500 0.7500 0.7500
Hg: 0.5000 0.5000 0.5000
Cl: 0.2500 0.2500 0.2500
Cl: 0.0000 0.0000 0.0000

No. 6
Below is La2HgCl after structural relaxation, with properties calculated at the PBE level.

## Properties
For the distance to the lowest polymorph of the same formula, the calculation gives 1.32 kcal/mol of atoms.

abc: 3.8157 3.8157 9.5762
angles: 78.51 78.51 60.00
Atoms (fractional coordinates):
La: 0.0865 0.0865 0.7406
Cl: 0.5003 0.5003 0.4990
Hg: 0.6666 0.6666 0.0001
La: 0.2466 0.2466 0.2603

No. 7
Below is La2HgCl2 after structural relaxation, with properties calculated at the PBE level.

## Properties
For the distance to the lowest polymorph of the same formula, the calculation gives 6.06 kcal/mol of atoms.

abc: 8.6488 8.6488 3.5842
angles: 90.00 90.00 90.00
Atoms (fractional coordinates):
La: 0.6736 0.1736 0.0000
La: 0.8264 0.6736 0.0000
Cl: 0.6244 0.8756 0.5000
La: 0.3264 0.8264 0.0000
La: 0.1736 0.3264 0.0000
Hg: 0.0000 0.0000 0.0000
Hg: 0.5000 0.5000 0.0000
Cl: 0.3756 0.1244 0.5000
Cl: 0.1244 0.6244 0.5000
Cl: 0.8756 0.3756 0.5000

No. 8
Below is LaHgCl2 after structural relaxation, with properties calculated at the PBE level.

## Properties
For the distance to the lowest polymorph of the same formula, the calculation gives 6.08 kcal/mol of atoms.

abc: 5.2284 5.2284 5.2284
angles: 60.00 60.00 60.00
Site moments in Bohr magnetons follow the coordinates.
Atoms (fractional coordinates):
Cl: 0.2500 0.2500 0.2500  0.00
Hg: 0.5000 0.5000 0.5000  -0.04
Cl: 0.7500 0.7500 0.7500  0.00
La: 0.0000 0.0000 0.0000  -0.43